# 1
CaTeP2 at its PBEsol-relaxed geometry. Source: Alexandria via LeMat-Bulk, functional SCAN.

```
4
Lattice="3.757 0.000 0.000 0.000 4.641 -0.028 0.000 -2.344 5.258" Properties=species:S:1:pos:R:3 pbc="T T T"
Te 0.000 3.213 2.824
Ca 1.878 0.841 3.890
P 1.878 1.401 0.970
P 0.000 0.312 0.147
```

**Space group**: Pm (6)
**M_tot**: 0.000 Bohr magnetons per cell

# 2
CaTeP2 at its PBEsol-relaxed geometry. Source: Alexandria via LeMat-Bulk, functional SCAN.

```
4
Lattice="-2.925 2.811 -1.885 -1.217 -4.406 -1.637 -1.094 -0.008 4.730" Properties=species:S:1:pos:R:3 pbc="T T T"
P -0.547 -0.004 2.365
P -0.608 -2.203 -0.819
Ca -1.463 1.406 -0.943
Te -2.618 -0.801 0.604
```

**Space group**: C2/m (12)
**M_tot**: 0.000 Bohr magnetons per cell

# 3
CaTeP2 at its PBEsol-relaxed geometry. Source: Alexandria via LeMat-Bulk, functional SCAN.

```
4
Lattice="3.407 0.000 0.000 0.000 5.278 0.000 -1.703 -2.639 4.675" Properties=species:S:1:pos:R:3 pbc="T T T"
Ca 1.703 0.000 2.175
P 0.000 2.639 2.723
P 1.703 2.639 4.209
Te 1.703 2.639 0.243
```

**Space group**: Imm2 (44)
**M_tot**: 0.000 Bohr magnetons per cell

no.,uncorrected formation energy (meV per atom),N(E_F) (states/eV/cell),final energy (eV/atom)
1,-517,0.14,-17.44
2,-219,1.68,-17.15
3,-402,1.47,-17.33